## YFe2Tc (PBE-GGA)

Data for YFe2Tc after structural relaxation.

a = 4.445 Å, b = 4.445 Å, c = 4.445 Å
α = 60.00°, β = 60.00°, γ = 60.00°
Last column: magnetic moment on the atom in μB.
Fractional positions:
Y 0.000 0.000 0.000  -0.23
Tc 0.500 0.500 0.500  -0.01
Fe 0.250 0.250 0.250  1.72
Fe 0.750 0.750 0.750  1.72

Summary:
Energy of formation from the pure elements   1.31 eV/f.u.
Calculated volume   62.1 Å³/f.u.
Distance to the lowest polymorph of the same formula   210 meV per atom
Raw total energy   -32.44 eV per formula unit



## LaDy8Er5 (PBE-GGA)

Data for LaDy8Er5 after structural relaxation.

a = 8.420 Å, b = 8.420 Å, c = 8.420 Å
α = 111.87°, β = 104.78°, γ = 111.87°
Fractional positions:
La 0.250 0.500 0.750
Dy 0.165 0.741 0.080
Dy 0.920 0.085 0.661
Dy 0.716 0.250 0.322
Dy 0.678 0.394 0.928
Dy 0.534 0.606 0.284
Dy 0.576 0.915 0.835
Dy 0.339 0.259 0.424
Dy 0.072 0.750 0.466
Er 0.043 0.324 0.137
Er 0.863 0.906 0.186
Er 0.814 0.676 0.719
Er 0.500 0.000 0.500
Er 0.281 0.094 0.957

Summary:
Energy of formation from the pure elements   3.42 eV/f.u.
Calculated volume   457.2 Å³/f.u.
Raw total energy   -61.14 eV per formula unit



## HfNbPd (PBE-GGA)

Data for HfNbPd after structural relaxation.

a = 2.987 Å, b = 2.987 Å, c = 6.517 Å
α = 103.25°, β = 103.25°, γ = 90.00°
Fractional positions:
Nb 0.994 0.994 0.988
Hf 0.672 0.672 0.343
Pd 0.334 0.334 0.668

Summary:
Energy of formation from the pure elements   -0.91 eV/f.u.
Calculated volume   55.0 Å³/f.u.
Distance to the lowest polymorph of the same formula   154 meV per atom
Raw total energy   -26.13 eV per formula unit



## Tb3Dy2Tm6Zr (PBE-GGA)

Data for Tb3Dy2Tm6Zr after structural relaxation.

a = 6.039 Å, b = 6.039 Å, c = 11.523 Å
α = 94.99°, β = 94.99°, γ = 119.92°
Fractional positions:
Tb 0.166 0.834 0.500
Tb 0.834 0.166 0.500
Tb 0.500 0.500 0.500
Dy 0.333 0.667 0.000
Dy 0.667 0.333 0.000
Tm 0.919 0.592 0.755
Tm 0.754 0.754 0.244
Tm 0.081 0.408 0.245
Tm 0.592 0.919 0.755
Tm 0.246 0.246 0.756
Tm 0.408 0.081 0.245
Zr 0.000 0.000 0.000

Summary:
Energy of formation from the pure elements   0.51 eV/f.u.
Calculated volume   358.7 Å³/f.u.
Raw total energy   -57.96 eV per formula unit



| no. | M_tot (μB/f.u.) |
| --- | --- |
| 1 | 2.98 |
| 2 | 0.00 |
| 3 | 0.00 |
| 4 | 0.00 |